Li2VAu8 (PBE, relaxed); M_tot = 2.1 μB/f.u.; DOS at the Fermi energy = 5.1 states/eV/cell; energy of formation from the pure elements = -20.67 kJ per mole of atoms; space-group type = P-1 (2)
1.0
4.9054 0.0000 0.0000
-0.6158 4.9793 0.0000
-0.6634 -0.8125 7.6861
Li V Au
2 1 8
Direct
0.1177 0.3116 0.2753 Li
0.8823 0.6884 0.7247 Li
0.5000 0.5000 0.0000 V
0.0380 0.7568 0.0900 Au
0.2188 0.8602 0.4598 Au
0.3386 0.4158 0.6468 Au
0.4213 0.9483 0.8222 Au
0.5787 0.0517 0.1778 Au
0.6614 0.5842 0.3532 Au
0.7812 0.1398 0.5402 Au
0.9620 0.2432 0.9100 Au